# 1
This record from the Alexandria database describes a relaxed Sm6GaGe2 crystal. The functional is PBE-GGA.

Calculated values
Space group: Immm, No. 71

a = 8.6745 Å, b = 8.6745 Å, c = 8.6745 Å
α = 111.51°, β = 109.60°, γ = 107.33°
Fractional positions:
Sm1 0.0510 0.2480 0.8030
Sm2 0.1717 0.4628 0.2911
Sm3 0.1717 0.8806 0.7089
Sm4 0.3233 0.2335 0.5568
Sm5 0.3233 0.7665 0.0898
Sm6 0.4451 0.2480 0.1970
Sm7 0.5549 0.7520 0.8030
Sm8 0.6767 0.2335 0.9102
Sm9 0.6767 0.7665 0.4432
Sm10 0.8283 0.1194 0.2911
Sm11 0.8283 0.5372 0.7089
Sm12 0.9490 0.7520 0.1970
Ga1 0.0000 0.0000 0.0000
Ga2 0.5000 0.5000 0.0000
Ge1 0.1428 0.5000 0.6428
Ge2 0.3785 0.8785 0.5000
Ge3 0.6215 0.1215 0.5000
Ge4 0.8572 0.5000 0.3572

=====

# 2
This record from the Alexandria database describes a relaxed Sm7Ga2Ge2 crystal. The functional is PBE-GGA.

Calculated values
Space group: Cmmm, No. 65

a = 6.7590 Å, b = 6.7590 Å, c = 7.3723 Å
α = 90.00°, β = 90.00°, γ = 110.15°
Fractional positions:
Sm1 0.0000 0.0000 0.0000
Sm2 0.0000 0.5000 0.2898
Sm3 0.0000 0.5000 0.7102
Sm4 0.5000 0.0000 0.2898
Sm5 0.5000 0.0000 0.7102
Sm6 0.5000 0.5000 0.2560
Sm7 0.5000 0.5000 0.7440
Ga1 0.2870 0.7130 0.0000
Ga2 0.7130 0.2870 0.0000
Ge1 0.1696 0.1696 0.5000
Ge2 0.8304 0.8304 0.5000

=====

Number 1: density of states at the Fermi level 0.7620 states/eV/atom, total magnetization 0.00 μB/f.u., energy of formation -0.545 eV/atom. Number 2: density of states at the Fermi level 1.0168 states/eV/atom, total magnetization 0.00 μB/f.u., energy of formation -0.259 eV/atom.